[1]
First-principles (GGA-PBE) data for a relaxed structure of Dy6TcHg2, as listed in the Alexandria database.

Cell lengths 8.2982, 8.2982, 4.0621 Å; angles 90.00, 90.00, 120.00 degrees
With the nearest neighbours (Å) after each atom.
Fractional positions:
Dy 0.0000 0.3976 0.0000  4 Hg 3.25, 1 Tc 3.30, 6 Dy 3.52-3.61
Dy 0.0000 0.7580 0.5000  2 Tc 2.86
Dy 0.2420 0.2420 0.5000  2 Tc 2.86
Dy 0.3976 0.0000 0.0000  4 Hg 3.25, 1 Tc 3.30, 6 Dy 3.52-3.61
Dy 0.6024 0.6024 0.0000  4 Hg 3.25, 1 Tc 3.30, 6 Dy 3.52-3.61
Dy 0.7580 0.0000 0.5000  2 Tc 2.86
Tc 0.0000 0.0000 0.0000  6 Dy 2.86
Hg 0.3333 0.6667 0.5000  9 Dy 3.21-3.25
Hg 0.6667 0.3333 0.5000  9 Dy 3.21-3.25

Summary:
As for the formation energy: -25 kJ/mol of atoms. For the total energy, the calculation gives -4.54 eV per atom. As for the total magnetic moment: 0.00 μB/cell. Its crystal system is hexagonal. As for the energy above the most stable polymorph in this dataset: 0.000 kcal/mol of atoms. As for the density of states at the Fermi level: 11.49 states/eV/cell.

[2]
First-principles (GGA-PBE) data for a relaxed structure of SrTe2Br, as listed in the Alexandria database.

Cell lengths 5.2353, 8.4087, 8.9205 Å; angles 67.67, 74.09, 81.49 degrees
With the nearest neighbours (Å) after each atom.
Fractional positions:
Sr 0.0000 0.0000 0.0000  3 Br 3.08-3.18
Sr 0.2817 0.0835 0.4274  3 Br 3.05-3.18, 1 Te 3.39
Te 0.0331 0.3829 0.6353  2 Te 2.88
Te 0.3360 0.7412 0.7763  2 Te 2.80-3.12
Te 0.4700 0.3665 0.7789  4 Te 2.88-3.20
Te 0.6503 0.0108 0.7177  1 Te 2.80
Br 0.4340 0.8573 0.2149  3 Sr 3.05-3.18
Br 0.8430 0.2269 0.2158  3 Sr 3.08-3.18

Summary:
For the total energy, the calculation gives -3.51 eV per atom. As for the total magnetic moment: 0.00 μB/cell. Its formation energy from raw total energies is -1.10 eV per atom. Its crystal system is triclinic. As for the energy above the most stable polymorph in this dataset: 2.051 kcal/mol of atoms. As for the density of states at the Fermi level: 0.99 states/eV/cell.

[3]
First-principles (GGA-PBE) data for a relaxed structure of HfVIr2, as listed in the Alexandria database.

Cell lengths 4.1587, 4.1587, 3.6710 Å; angles 90.00, 90.00, 90.00 degrees
With the nearest neighbours (Å) after each atom.
Fractional positions:
Hf 0.0000 0.0000 0.0000  8 Ir 2.77, 4 V 2.94
V 0.5000 0.5000 0.0000  8 Ir 2.77, 4 Hf 2.94
Ir 0.0000 0.5000 0.5000  4 Hf 2.77, 4 V 2.77, 4 Ir 2.94
Ir 0.5000 0.0000 0.5000  4 Hf 2.77, 4 V 2.77, 4 Ir 2.94

Summary:
As for the formation energy: -61 kJ/mol of atoms. For the total energy, the calculation gives -9.83 eV per atom. As for the total magnetic moment: 1.97 μB/cell. Its crystal system is tetragonal. As for the density of states at the Fermi level: 3.69 states/eV/cell.

[4]
First-principles (GGA-PBE) data for a relaxed structure of CuSbIr2, as listed in the Alexandria database.

Cell lengths 3.4034, 3.4034, 5.5404 Å; angles 90.00, 90.00, 90.00 degrees
With the nearest neighbours (Å) after each atom.
Fractional positions:
Cu 0.0000 0.0000 0.0000  6 Ir 2.62-2.89, 4 Sb 2.90
Sb 0.5000 0.5000 0.7083  6 Ir 2.66-2.88, 4 Cu 2.90
Ir 0.0000 0.0000 0.4787  2 Cu 2.65-2.89, 4 Sb 2.72, 4 Ir 2.89
Ir 0.5000 0.5000 0.1890  4 Cu 2.62, 2 Sb 2.66-2.88, 4 Ir 2.89

Summary:
For the total energy, the calculation gives -6.18 eV per atom. As for the total magnetic moment: 0.00 μB/cell. Its formation energy from raw total energies is 0.30 eV per atom. Its crystal system is tetragonal. As for the density of states at the Fermi level: 3.60 states/eV/cell.

[5]
First-principles (GGA-PBE) data for a relaxed structure of RePtO2F, as listed in the Alexandria database.

Cell lengths 4.0534, 4.0534, 4.2453 Å; angles 90.00, 90.00, 90.00 degrees
With the nearest neighbours (Å) after each atom.
Fractional positions:
Re 0.0000 0.0000 0.0000  4 F 2.87, 8 O 2.93
Pt 0.5000 0.5000 0.5000  4 O 2.03, 2 F 2.12
O 0.0000 0.5000 0.5000  2 Pt 2.03
O 0.5000 0.0000 0.5000  2 Pt 2.03
F 0.5000 0.5000 0.0000  2 Pt 2.12

Summary:
For the total energy, the calculation gives -5.35 eV per atom. As for the total magnetic moment: 4.60 μB/cell. Its formation energy from raw total energies is 0.70 eV per atom. Its crystal system is tetragonal. As for the density of states at the Fermi level: 4.04 states/eV/cell.

[6]
First-principles (GGA-PBE) data for a relaxed structure of SmTh2ScTe4, as listed in the Alexandria database.

Cell lengths 7.2793, 4.2226, 8.1490 Å; angles 90.00, 107.52, 90.00 degrees
With the nearest neighbours (Å) after each atom.
Fractional positions:
Sm 0.0000 0.0000 0.0000  6 Te 3.08
Th 0.0000 0.5000 0.5000  6 Te 3.24-3.25
Th 0.5000 0.0000 0.5000  6 Te 3.15-3.16
Sc 0.5000 0.5000 0.0000  6 Te 2.98-2.99
Te 0.2560 0.5000 0.2357  1 Sc 2.98, 2 Sm 3.08, 3 Th 3.15-3.25
Te 0.2673 0.0000 0.7708  2 Sc 2.99, 1 Sm 3.08, 3 Th 3.16-3.24
Te 0.7327 0.0000 0.2292  2 Sc 2.99, 1 Sm 3.08, 3 Th 3.16-3.24
Te 0.7440 0.5000 0.7643  1 Sc 2.98, 2 Sm 3.08, 3 Th 3.15-3.25

Summary:
For the total energy, the calculation gives -5.91 eV per atom. As for the total magnetic moment: 0.00 μB/cell. Its formation energy from raw total energies is -1.10 eV per atom. Its crystal system is monoclinic. As for the density of states at the Fermi level: 7.62 states/eV/cell.

[7]
First-principles (GGA-PBE) data for a relaxed structure of Nb3InH, as listed in the Alexandria database.

Cell lengths 5.6685, 5.6685, 5.8916 Å; angles 100.34, 100.34, 117.16 degrees
With the nearest neighbours (Å) after each atom.
Fractional positions:
Nb 0.0064 0.9936 0.5000  1 H 1.92
Nb 0.0246 0.5067 0.2582  1 H 1.94
Nb 0.0332 0.5175 0.7523  2 H 1.94-1.95
Nb 0.5067 0.0246 0.7582  1 H 1.94
Nb 0.5175 0.0332 0.2523  2 H 1.94-1.95
Nb 0.9936 0.0064 0.0000  1 H 1.92
In 0.5130 0.5132 0.0591  9 Nb 2.93-3.18, 2 In 2.95, 2 H 3.09-3.11
In 0.5132 0.5130 0.5591  9 Nb 2.93-3.18, 2 In 2.95, 2 H 3.09-3.11
H 0.1314 0.7658 0.0696  4 Nb 1.92-1.95
H 0.7658 0.1314 0.5696  4 Nb 1.92-1.95

Summary:
For the total energy, the calculation gives -7.32 eV per atom. As for the total magnetic moment: 0.00 μB/cell. Its crystal system is monoclinic. As for the density of states at the Fermi level: 5.88 states/eV/cell.

[8]
First-principles (GGA-PBE) data for a relaxed structure of KTa2Ir, as listed in the Alexandria database.

Cell lengths 4.9459, 4.9459, 2.9857 Å; angles 90.00, 90.00, 90.00 degrees
With the nearest neighbours (Å) after each atom.
Fractional positions:
K 0.0000 0.0000 0.0000  8 Ta 2.89, 2 K 2.99
Ta 0.0000 0.5000 0.5000  4 Ir 2.89, 4 K 2.89, 2 Ta 2.99
Ta 0.5000 0.0000 0.5000  4 Ir 2.89, 4 K 2.89, 2 Ta 2.99
Ir 0.5000 0.5000 0.0000  8 Ta 2.89, 2 Ir 2.99

Summary:
As for the formation energy: 117 kJ/mol of atoms. For the total energy, the calculation gives -7.21 eV per atom. As for the total magnetic moment: 0.00 μB/cell. Its crystal system is tetragonal. As for the energy above the most stable polymorph in this dataset: 20.291 kcal/mol of atoms. As for the density of states at the Fermi level: 3.19 states/eV/cell.

[9]
First-principles (GGA-PBE) data for a relaxed structure of Ru3PbAu, as listed in the Alexandria database.

Cell lengths 4.9262, 4.9262, 4.9262 Å; angles 90.00, 90.00, 90.00 degrees
With the nearest neighbours (Å) after each atom.
Fractional positions:
Ru 0.0000 0.0000 0.5000  2 Au 2.46
Ru 0.0000 0.5000 0.0000  2 Au 2.46
Ru 0.5000 0.0000 0.0000  2 Au 2.46
Pb 0.5000 0.5000 0.5000  12 Ru 3.48
Au 0.0000 0.0000 0.0000  6 Ru 2.46

Summary:
As for the formation energy: 181 kJ/mol of atoms. For the total energy, the calculation gives -5.08 eV per atom. As for the total magnetic moment: 6.11 μB/cell. Its crystal system is cubic. As for the energy above the most stable polymorph in this dataset: 0.000 kcal/mol of atoms. As for the density of states at the Fermi level: 9.43 states/eV/cell.

[10]
First-principles (GGA-PBE) data for a relaxed structure of TbGd4Y, as listed in the Alexandria database.

Cell lengths 6.5825, 6.5825, 6.5825 Å; angles 60.00, 60.00, 60.00 degrees
With the nearest neighbours (Å) after each atom.
Fractional positions:
Tb 0.0000 0.0000 0.0000  12 Gd 3.86, 4 Y 4.03
Gd 0.3750 0.3750 0.3750  6 Gd 3.29
Gd 0.3750 0.3750 0.8748  6 Gd 3.29
Gd 0.3750 0.8748 0.3750  6 Gd 3.29
Gd 0.8748 0.3750 0.3750  6 Gd 3.29
Y 0.7500 0.7500 0.7500  12 Gd 3.86, 4 Tb 4.03

Summary:
As for the formation energy: 23 kJ/mol of atoms. For the total energy, the calculation gives -10.99 eV per atom. As for the total magnetic moment: 28.44 μB/cell. Its crystal system is cubic. As for the density of states at the Fermi level: 11.92 states/eV/cell.

[11]
First-principles (GGA-PBE) data for a relaxed structure of AlSiSe2, as listed in the Alexandria database.

Cell lengths 4.7165, 4.7165, 4.7165 Å; angles 60.00, 60.00, 60.00 degrees
With the nearest neighbours (Å) after each atom.
Fractional positions:
Al 0.0000 0.0000 0.0000  8 Se 2.89
Si 0.5000 0.5000 0.5000  8 Se 2.89
Se 0.2500 0.2500 0.2500  4 Al 2.89, 4 Si 2.89
Se 0.7500 0.7500 0.7500  4 Si 2.89, 4 Al 2.89

Summary:
For the total energy, the calculation gives -3.85 eV per atom. As for the total magnetic moment: 0.00 μB/cell. Its formation energy from raw total energies is 0.18 eV per atom. Its crystal system is cubic. As for the energy above the most stable polymorph in this dataset: 12.630 kcal/mol of atoms. As for the density of states at the Fermi level: 1.63 states/eV/cell.

[12]
First-principles (GGA-PBE) data for a relaxed structure of ErAl3CuAu, as listed in the Alexandria database.

Cell lengths 6.9106, 6.9106, 5.7811 Å; angles 90.00, 90.00, 126.71 degrees
With the nearest neighbours (Å) after each atom.
Fractional positions:
Er 0.2105 0.7895 0.7500  1 Cu 2.67, 2 Au 2.97
Er 0.7895 0.2105 0.2500  1 Cu 2.67, 2 Au 2.97
Al 0.2126 0.2126 0.0000  2 Cu 2.47, 1 Al 2.64, 2 Au 2.73
Al 0.2126 0.2126 0.5000  2 Cu 2.47, 1 Al 2.64, 2 Au 2.73
Al 0.3632 0.6368 0.2500  1 Au 2.58, 1 Cu 2.60, 4 Al 2.85
Al 0.6368 0.3632 0.7500  1 Au 2.58, 1 Cu 2.60, 4 Al 2.85
Al 0.7874 0.7874 0.0000  2 Cu 2.47, 1 Al 2.64, 2 Au 2.73
Al 0.7874 0.7874 0.5000  2 Cu 2.47, 1 Al 2.64, 2 Au 2.73
Cu 0.4264 0.5736 0.7500  5 Al 2.47-2.60, 1 Er 2.67
Cu 0.5736 0.4264 0.2500  5 Al 2.47-2.60, 1 Er 2.67
Au 0.1546 0.8454 0.2500  5 Al 2.58-2.73
Au 0.8454 0.1546 0.7500  5 Al 2.58-2.73

Summary:
As for the formation energy: -29 kJ/mol of atoms. For the total energy, the calculation gives -4.16 eV per atom. As for the total magnetic moment: 0.00 μB/cell. Its crystal system is orthorhombic. As for the density of states at the Fermi level: 5.51 states/eV/cell.